# 1
The following is a DFT calculation (PBE-GGA) of crystalline MnTeRu2 at its relaxed geometry.

Values from the calculation:
Electronic total energy = -7.4284 eV per atom

Cell: 3.8874 3.8874 8.1806 Å, 90.00 90.00 90.00°
Sites, in units of the cell vectors:
Mn1 0.0000 0.0000 0.0000
Mn2 0.5000 0.5000 0.5000
Te1 0.0000 0.5000 0.2500
Te2 0.5000 0.0000 0.7500
Ru1 0.0000 0.0000 0.5000
Ru2 0.0000 0.5000 0.7500
Ru3 0.5000 0.0000 0.2500
Ru4 0.5000 0.5000 0.0000

***

# 2
The following is a DFT calculation (PBE-GGA) of crystalline Sc3BiO at its relaxed geometry.

Values from the calculation:
Electronic total energy = -4.7886 eV per atom

Cell: 5.4686 5.4686 5.4686 Å, 90.00 90.00 90.00°
Sites, in units of the cell vectors:
Sc1 0.0000 0.0000 0.5000
Sc2 0.0000 0.5000 0.0000
Sc3 0.5000 0.0000 0.0000
Bi1 0.0000 0.0000 0.0000
O1 0.5000 0.5000 0.5000

***

# 3
The following is a DFT calculation (PBE-GGA) of crystalline Mg2ReW at its relaxed geometry.

Values from the calculation:
Energy of formation from the pure elements = 0.38 eV per atom

Cell: 3.7997 3.7997 4.5888 Å, 90.00 90.00 90.00°
Sites, in units of the cell vectors:
Mg1 0.0000 0.5000 0.0000
Mg2 0.5000 0.0000 0.0000
Re1 0.0000 0.0000 0.5000
W1 0.5000 0.5000 0.5000

***

# 4
The following is a DFT calculation (PBE-GGA) of crystalline Ac2AlHg3 at its relaxed geometry.

Values from the calculation:
Energy of formation from the pure elements = -0.44 eV per atom

Cell: 9.9107 9.5079 6.4373 Å, 74.06 67.29 38.65°
Sites, in units of the cell vectors:
Ac1 0.2349 0.7651 0.7651
Ac2 0.2500 0.2500 0.2500
Ac3 0.7500 0.7500 0.7500
Ac4 0.7651 0.2349 0.2349
Al1 0.3353 0.3353 0.6647
Al2 0.6647 0.6647 0.3353
Hg1 0.1731 0.1731 0.8269
Hg2 0.1761 0.6522 0.3478
Hg3 0.3478 0.8239 0.1761
Hg4 0.6522 0.1761 0.8239
Hg5 0.8239 0.3478 0.6522
Hg6 0.8269 0.8269 0.1731